# CoNiBi

CoNiBi after structural relaxation (GGA-PBE, Alexandria via LeMat-Bulk).

```
CoNiBi
1.0
-3.025 0.282 7.106
3.706 -0.494 1.597
2.503 6.570 -3.776
Bi Ni Co
4 4 4
Direct
0.625 0.500 0.249 Bi
0.017 0.500 0.133 Bi
0.625 0.000 0.749 Bi
0.017 0.000 0.633 Bi
0.225 0.000 0.435 Ni
0.403 0.000 0.922 Ni
0.225 0.500 0.935 Ni
0.403 0.500 0.422 Ni
0.272 0.000 0.144 Co
0.272 0.500 0.644 Co
0.596 0.000 0.424 Co
0.596 0.500 0.924 Co
```

As for the electronic total energy: -5.322 eV/atom. The value obtained for the theoretical density is 10.18 g cm⁻³. The formation energy is 267 meV/atom. For the density of states at the Fermi level, the calculation gives 14.4 states/eV per cell. The symmetry is Cm.

# CoNi2Bi

CoNi2Bi after structural relaxation (GGA-PBE, Alexandria via LeMat-Bulk).

```
CoNi2Bi
1.0
-0.871 0.726 -3.581
0.287 -3.657 -0.811
-8.840 -2.548 -0.337
Ni Bi Co
4 2 2
Direct
0.171 0.625 0.250 Ni
0.875 0.829 0.750 Ni
0.579 0.125 0.250 Ni
0.375 0.421 0.750 Ni
0.000 0.000 0.000 Bi
0.750 0.250 0.500 Bi
0.500 0.500 0.000 Co
0.250 0.750 0.500 Co
```

As for the electronic total energy: -5.119 eV/atom. The value obtained for the theoretical density is 10.29 g cm⁻³. The formation energy is 518 meV/atom. For the density of states at the Fermi level, the calculation gives 10.9 states/eV per cell. The symmetry is I-42d.

# CoNi2Bi2

CoNi2Bi2 after structural relaxation (GGA-PBE, Alexandria via LeMat-Bulk).

```
CoNi2Bi2
1.0
6.853 0.000 0.000
0.000 6.853 0.000
0.000 0.000 3.751
Ni Bi Co
4 4 2
Direct
0.128 0.372 0.000 Ni
0.372 0.872 0.000 Ni
0.872 0.628 0.000 Ni
0.628 0.128 0.000 Ni
0.177 0.677 0.500 Bi
0.823 0.323 0.500 Bi
0.323 0.177 0.500 Bi
0.677 0.823 0.500 Bi
0.000 0.000 0.000 Co
0.500 0.500 0.000 Co
```

As for the electronic total energy: -4.936 eV/atom. The value obtained for the theoretical density is 11.21 g cm⁻³. The formation energy is 350 meV/atom. For the density of states at the Fermi level, the calculation gives 16.9 states/eV per cell. The symmetry is P4/mbm.

# CoNiBi

CoNiBi after structural relaxation (GGA-PBE, Alexandria via LeMat-Bulk).

```
CoNiBi
1.0
3.869 0.000 0.000
0.000 3.957 0.000
0.000 0.000 6.429
Ni Bi Co
2 2 2
Direct
0.500 0.500 0.510 Ni
0.000 0.500 0.269 Ni
0.500 0.000 0.194 Bi
0.000 0.500 0.829 Bi
0.000 0.000 0.514 Co
0.500 0.000 0.738 Co
```

As for the electronic total energy: -5.389 eV/atom. The value obtained for the theoretical density is 11.02 g cm⁻³. The formation energy is 200 meV/atom. For the density of states at the Fermi level, the calculation gives 9.4 states/eV per cell. The symmetry is Pmm2.

# Co3NiBi

Co3NiBi after structural relaxation (GGA-PBE, Alexandria via LeMat-Bulk).

```
Co3NiBi
1.0
4.739 0.000 0.000
0.000 4.739 0.000
0.000 0.000 4.739
Co Ni Bi
3 1 1
Direct
0.000 0.000 0.500 Co
0.000 0.500 0.000 Co
0.500 0.000 0.000 Co
0.500 0.500 0.500 Ni
0.000 0.000 0.000 Bi
```

As for the electronic total energy: -4.335 eV/atom. The value obtained for the theoretical density is 6.94 g cm⁻³. The formation energy is 1861 meV/atom. For the density of states at the Fermi level, the calculation gives 12.2 states/eV per cell. As for the energy relative to the lowest polymorph listed for this composition: 1003 meV/atom. The symmetry is Pm-3m.

# Co3NiBi

Co3NiBi after structural relaxation (GGA-PBE, Alexandria via LeMat-Bulk).

```
Co3NiBi
1.0
-2.834 -3.170 0.982
1.226 -2.200 -3.564
3.084 -2.038 2.320
Ni Co Bi
1 3 1
Direct
0.000 0.000 0.000 Ni
0.500 0.000 0.000 Co
0.000 0.000 0.500 Co
0.000 0.500 0.000 Co
0.500 0.500 0.500 Bi
```

As for the electronic total energy: -5.338 eV/atom. The value obtained for the theoretical density is 8.88 g cm⁻³. The formation energy is 858 meV/atom. For the density of states at the Fermi level, the calculation gives 6.9 states/eV per cell. As for the energy relative to the lowest polymorph listed for this composition: 0 meV/atom. The symmetry is Pm-3m.

# Co2NiBi

Co2NiBi after structural relaxation (GGA-PBE, Alexandria via LeMat-Bulk).

```
Co2NiBi
1.0
-3.424 1.626 -0.200
-1.069 -2.569 -2.582
-5.163 -5.808 5.128
Co Bi Ni
4 2 2
Direct
0.375 0.457 0.750 Co
0.543 0.125 0.250 Co
0.207 0.625 0.250 Co
0.875 0.793 0.750 Co
0.750 0.250 0.500 Bi
0.000 0.000 0.000 Bi
0.250 0.750 0.500 Ni
0.500 0.500 0.000 Ni
```

As for the electronic total energy: -5.429 eV/atom. The value obtained for the theoretical density is 9.97 g cm⁻³. The formation energy is 539 meV/atom. For the density of states at the Fermi level, the calculation gives 7.7 states/eV per cell. The symmetry is I-42d.

# CoNiBi

CoNiBi after structural relaxation (GGA-PBE, Alexandria via LeMat-Bulk).

```
CoNiBi
1.0
-3.955 -2.517 2.559
2.025 -2.758 0.418
7.299 6.420 7.005
Ni Bi Co
4 4 4
Direct
0.335 0.000 0.205 Ni
0.472 0.500 0.088 Ni
0.335 0.500 0.705 Ni
0.472 0.000 0.588 Ni
0.921 0.500 0.035 Bi
0.270 0.500 0.376 Bi
0.270 0.000 0.876 Bi
0.921 0.000 0.535 Bi
0.813 0.500 0.707 Co
0.713 0.000 0.812 Co
0.813 0.000 0.207 Co
0.713 0.500 0.312 Co
```

As for the electronic total energy: -5.339 eV/atom. The value obtained for the theoretical density is 10.85 g cm⁻³. The formation energy is 250 meV/atom. For the density of states at the Fermi level, the calculation gives 15.6 states/eV per cell. The symmetry is Cm.

Number 1: calculated volume 17.7 Å³ per atom. Number 2: calculated volume 15.5 Å³ per atom. Number 3: calculated volume 17.6 Å³ per atom. Number 4: calculated volume 16.4 Å³ per atom. Number 5: calculated volume 21.3 Å³ per atom. Number 6: calculated volume 16.6 Å³ per atom. Number 7: calculated volume 16.1 Å³ per atom. Number 8: calculated volume 16.7 Å³ per atom.